Entry 1:
VASP calculation (PBE) on a relaxed structure of CaRe3. Values from VASP.

Quantum ESPRESSO input file:
```
&SYSTEM
  ibrav = 0, nat = 4, ntyp = 2
/
ATOMIC_SPECIES
Ca 40.08 Ca.upf
Re 186.21 Re.upf
ATOMIC_POSITIONS angstrom
Ca 0.0000 0.0000 0.0000
Re 0.0000 0.0000 7.0432
Re 0.0000 0.0000 14.5742
Re 0.0000 0.0000 22.1052
CELL_PARAMETERS angstrom
1.4163 0.8177 9.7161
-1.4163 0.8177 9.7161
0.0000 -1.6354 9.7161
```

As for the energy above the most stable polymorph in this dataset: 0.0000 eV per atom. The calculation puts the magnetization at 0.000 μB per atom. For the formation energy, the calculation gives 530 meV/atom. The energy is -37.23 eV per formula unit.

Entry 2:
VASP calculation (PBE) on a relaxed structure of CaRe3. Values from VASP.

Quantum ESPRESSO input file:
```
&SYSTEM
  ibrav = 0, nat = 8, ntyp = 2
/
ATOMIC_SPECIES
Ca 40.08 Ca.upf
Re 186.21 Re.upf
ATOMIC_POSITIONS angstrom
Ca 0.0000 3.7756 1.1018
Ca 3.2697 1.8878 3.3055
Re 0.0000 1.4796 3.3055
Re -1.9884 4.9236 3.3055
Re 1.2813 0.7398 1.1018
Re 1.9884 4.9236 3.3055
Re 5.2581 0.7398 1.1018
Re 3.2697 4.1838 1.1018
CELL_PARAMETERS angstrom
6.5395 0.0000 0.0000
-3.2697 5.6633 0.0000
0.0000 0.0000 4.4073
```

As for the energy above the most stable polymorph in this dataset: 0.1791 eV per atom. The calculation puts the magnetization at 0.002 μB per atom. For the formation energy, the calculation gives 709 meV/atom. The energy is -36.51 eV per formula unit.

Entry 3:
VASP calculation (PBE) on a relaxed structure of Ca5Re. Values from VASP.

Quantum ESPRESSO input file:
```
&SYSTEM
  ibrav = 0, nat = 6, ntyp = 2
/
ATOMIC_SPECIES
Ca 40.08 Ca.upf
Re 186.21 Re.upf
ATOMIC_POSITIONS angstrom
Ca 0.0000 0.0000 0.0000
Ca 0.0000 0.0000 5.2491
Ca 2.7911 0.0000 1.5937
Ca 2.7911 0.0000 7.7937
Ca 2.7911 0.0000 14.1409
Re 0.0000 0.0000 12.4836
CELL_PARAMETERS angstrom
5.5822 0.0000 0.0000
0.0000 1.7351 9.8302
0.0000 -1.7351 9.8302
```

As for the energy above the most stable polymorph in this dataset: 0.0918 eV per atom. The calculation puts the magnetization at 0.000 μB per atom. For the formation energy, the calculation gives 519 meV/atom. The energy is -19.34 eV per formula unit.

Entry 4:
VASP calculation (PBE) on a relaxed structure of Ca5Re. Values from VASP.

Quantum ESPRESSO input file:
```
&SYSTEM
  ibrav = 0, nat = 6, ntyp = 2
/
ATOMIC_SPECIES
Ca 40.08 Ca.upf
Re 186.21 Re.upf
ATOMIC_POSITIONS angstrom
Ca 0.0000 0.0000 0.0000
Ca -1.1481 0.0000 3.0696
Ca 2.7662 0.0000 5.2694
Ca 6.9245 0.0000 6.5663
Ca 9.5152 0.0000 1.9615
Re 4.6184 0.0000 0.4680
CELL_PARAMETERS angstrom
6.9201 -1.8083 0.0000
6.9201 1.8083 0.0000
-3.0186 0.0000 7.9795
```

As for the energy above the most stable polymorph in this dataset: 0.0000 eV per atom. The calculation puts the magnetization at 0.146 μB per atom. For the formation energy, the calculation gives 427 meV/atom. The energy is -19.89 eV per formula unit.

Entry 5:
VASP calculation (PBE) on a relaxed structure of Ca3Re. Values from VASP.

Quantum ESPRESSO input file:
```
&SYSTEM
  ibrav = 0, nat = 4, ntyp = 2
/
ATOMIC_SPECIES
Ca 40.08 Ca.upf
Re 186.21 Re.upf
ATOMIC_POSITIONS angstrom
Ca 0.0000 0.0000 0.0000
Ca 0.0000 1.9858 3.3704
Ca 0.0000 1.9858 7.8492
Re 0.0000 0.0000 5.6098
CELL_PARAMETERS angstrom
3.4396 0.0000 0.0000
-1.7198 2.9788 0.0000
0.0000 0.0000 11.2196
```

As for the energy above the most stable polymorph in this dataset: 0.4893 eV per atom. The calculation puts the magnetization at 0.277 μB per atom. For the formation energy, the calculation gives 745 meV/atom. The energy is -15.47 eV per formula unit.

Entry 6:
VASP calculation (PBE) on a relaxed structure of Ca3Re. Values from VASP.

Quantum ESPRESSO input file:
```
&SYSTEM
  ibrav = 0, nat = 4, ntyp = 2
/
ATOMIC_SPECIES
Ca 40.08 Ca.upf
Re 186.21 Re.upf
ATOMIC_POSITIONS angstrom
Ca 0.0000 0.0000 0.0000
Ca 1.8775 1.8775 1.8775
Ca 5.6324 5.6324 5.6324
Re 3.7550 3.7550 3.7550
CELL_PARAMETERS angstrom
0.0000 3.7550 3.7550
3.7550 0.0000 3.7550
3.7550 3.7550 0.0000
```

As for the energy above the most stable polymorph in this dataset: 0.4722 eV per atom. The calculation puts the magnetization at 0.224 μB per atom. For the formation energy, the calculation gives 727 meV/atom. The energy is -15.54 eV per formula unit.

Entry 7:
VASP calculation (PBE) on a relaxed structure of Ca3Re. Values from VASP.

Quantum ESPRESSO input file:
```
&SYSTEM
  ibrav = 0, nat = 8, ntyp = 2
/
ATOMIC_SPECIES
Ca 40.08 Ca.upf
Re 186.21 Re.upf
ATOMIC_POSITIONS angstrom
Ca 5.7803 4.0259 2.8819
Ca 3.3763 1.3922 2.8819
Ca 3.3763 -1.3922 0.9606
Ca 8.1842 1.3922 2.8819
Ca 8.1842 -1.3922 0.9606
Ca 5.7803 -4.0259 0.9606
Re 5.7803 0.7330 0.9606
Re 5.7803 -0.7330 2.8819
CELL_PARAMETERS angstrom
5.7803 -5.8106 0.0000
5.7803 5.8106 0.0000
0.0000 0.0000 3.8425
```

As for the energy above the most stable polymorph in this dataset: 0.0000 eV per atom. The calculation puts the magnetization at 0.000 μB per atom. For the formation energy, the calculation gives 255 meV/atom. The energy is -17.43 eV per formula unit.

Entry 8:
VASP calculation (PBE) on a relaxed structure of Ca3Re. Values from VASP.

Quantum ESPRESSO input file:
```
&SYSTEM
  ibrav = 0, nat = 4, ntyp = 2
/
ATOMIC_SPECIES
Ca 40.08 Ca.upf
Re 186.21 Re.upf
ATOMIC_POSITIONS angstrom
Ca 0.0000 0.0000 0.0000
Ca 1.7080 1.7080 3.2665
Ca 1.7080 1.7080 6.9944
Re 0.0000 0.0000 5.1304
CELL_PARAMETERS angstrom
3.4160 0.0000 0.0000
0.0000 3.4160 0.0000
0.0000 0.0000 10.2608
```

As for the energy above the most stable polymorph in this dataset: 0.3810 eV per atom. The calculation puts the magnetization at 0.393 μB per atom. For the formation energy, the calculation gives 636 meV/atom. The energy is -15.91 eV per formula unit.

Entry 9:
VASP calculation (PBE) on a relaxed structure of CaRe2. Values from VASP.

Quantum ESPRESSO input file:
```
&SYSTEM
  ibrav = 0, nat = 6, ntyp = 2
/
ATOMIC_SPECIES
Ca 40.08 Ca.upf
Re 186.21 Re.upf
ATOMIC_POSITIONS angstrom
Ca 0.0000 0.0000 1.1965
Ca 0.0000 0.0000 3.5896
Re 4.3179 0.8261 0.0000
Re 0.8261 2.6658 0.0000
Re 2.6658 0.8261 2.3930
Re -0.8261 2.6658 2.3930
CELL_PARAMETERS angstrom
-3.4918 3.4918 2.3930
3.4918 -3.4918 2.3930
3.4918 3.4918 -2.3930
```

The calculation puts the magnetization at 0.000 μB per atom. For the formation energy, the calculation gives 1561 meV/atom. The energy is -22.21 eV per formula unit.

Entry 10:
VASP calculation (PBE) on a relaxed structure of CaRe3. Values from VASP.

Quantum ESPRESSO input file:
```
&SYSTEM
  ibrav = 0, nat = 4, ntyp = 2
/
ATOMIC_SPECIES
Ca 40.08 Ca.upf
Re 186.21 Re.upf
ATOMIC_POSITIONS angstrom
Ca 0.0000 0.0000 0.0000
Re 0.1420 2.2877 3.9575
Re 0.9516 0.0000 2.6694
Re 1.7612 2.2877 1.3814
CELL_PARAMETERS angstrom
2.7213 0.0000 0.0000
0.0000 4.5754 0.0000
-0.8181 0.0000 5.3389
```

As for the energy above the most stable polymorph in this dataset: 0.0849 eV per atom. The calculation puts the magnetization at 0.000 μB per atom. For the formation energy, the calculation gives 615 meV/atom. The energy is -36.89 eV per formula unit.

Entry 11:
VASP calculation (PBE) on a relaxed structure of Ca3Re5. Values from VASP.

Quantum ESPRESSO input file:
```
&SYSTEM
  ibrav = 0, nat = 8, ntyp = 2
/
ATOMIC_SPECIES
Ca 40.08 Ca.upf
Re 186.21 Re.upf
ATOMIC_POSITIONS angstrom
Ca 0.0000 0.0000 0.0000
Ca 2.2581 0.0000 1.5984
Ca 6.8327 0.0000 1.5984
Re 2.2727 2.4362 0.0000
Re 4.5454 2.1804 1.5984
Re 2.2727 -2.4362 0.0000
Re 4.5454 0.0000 0.0000
Re 4.5454 -2.1804 1.5984
CELL_PARAMETERS angstrom
4.5454 -4.8724 0.0000
4.5454 4.8724 0.0000
0.0000 0.0000 3.1968
```

As for the energy above the most stable polymorph in this dataset: 0.0000 eV per atom. The calculation puts the magnetization at 0.000 μB per atom. For the formation energy, the calculation gives 759 meV/atom. The energy is -62.17 eV per formula unit.

Entry 12:
VASP calculation (PBE) on a relaxed structure of Ca3ReRh. Values from VASP.

Quantum ESPRESSO input file:
```
&SYSTEM
  ibrav = 0, nat = 5, ntyp = 3
/
ATOMIC_SPECIES
Ca 40.08 Ca.upf
Re 186.21 Re.upf
Rh 102.91 Rh.upf
ATOMIC_POSITIONS angstrom
Ca 0.0000 0.0000 2.6543
Ca 0.0000 2.6543 0.0000
Ca 2.6543 0.0000 0.0000
Re 0.0000 0.0000 0.0000
Rh 2.6543 2.6543 2.6543
CELL_PARAMETERS angstrom
5.3086 0.0000 0.0000
0.0000 5.3086 0.0000
0.0000 0.0000 5.3086
```

As for the energy above the most stable polymorph in this dataset: 0.3291 eV per atom. The calculation puts the magnetization at 0.000 μB per atom. For the formation energy, the calculation gives 1138 meV/atom. The energy is -20.12 eV per formula unit.

Entry 13:
VASP calculation (PBE) on a relaxed structure of CaReRh. Values from VASP.

Quantum ESPRESSO input file:
```
&SYSTEM
  ibrav = 0, nat = 6, ntyp = 3
/
ATOMIC_SPECIES
Ca 40.08 Ca.upf
Re 186.21 Re.upf
Rh 102.91 Rh.upf
ATOMIC_POSITIONS angstrom
Ca 1.4240 0.9591 0.0000
Ca 1.4240 2.9118 2.5271
Re 1.4240 -1.8680 3.6916
Re 1.4240 5.7389 1.1645
Rh 0.0000 0.0000 2.5201
Rh 2.8481 0.0000 2.5201
CELL_PARAMETERS angstrom
-2.8481 3.8710 2.5271
2.8481 -3.8710 2.5271
2.8481 3.8710 -2.5271
```

As for the energy above the most stable polymorph in this dataset: 0.0000 eV per atom. The calculation puts the magnetization at 0.000 μB per atom. For the formation energy, the calculation gives -81 meV/atom. The energy is -22.04 eV per formula unit.

Entry 14:
VASP calculation (PBE) on a relaxed structure of CaReRh. Values from VASP.

Quantum ESPRESSO input file:
```
&SYSTEM
  ibrav = 0, nat = 6, ntyp = 3
/
ATOMIC_SPECIES
Ca 40.08 Ca.upf
Re 186.21 Re.upf
Rh 102.91 Rh.upf
ATOMIC_POSITIONS angstrom
Ca 1.5440 0.0000 1.0137
Ca 3.0857 0.0000 5.3681
Re 0.4076 0.0000 3.7656
Re 4.2221 0.0000 2.6162
Rh -2.2099 0.0000 3.1909
Rh 4.5247 0.0000 0.0000
CELL_PARAMETERS angstrom
4.5247 -2.0708 0.0000
4.5247 2.0708 0.0000
-4.4197 0.0000 6.3818
```

As for the energy above the most stable polymorph in this dataset: 0.2205 eV per atom. The calculation puts the magnetization at 0.000 μB per atom. For the formation energy, the calculation gives 140 meV/atom. The energy is -21.38 eV per formula unit.